Below is crystalline CuAsCl4 at its relaxed geometry, with properties calculated at the PBE level.

Properties
raw formation energy: -248 kJ/mol of formula units
space-group type: C2/c (15)
N(E_F): 1.818 states/eV/f.u.
polymorph energy (0 for the lowest one): 33 meV per atom

```
CuAsCl4
1.0
3.666 -7.627 0.000
3.666 7.627 0.000
-2.830 0.000 5.797
Cu As Cl
2 2 8
Direct
0.108 0.892 0.750
0.892 0.108 0.250
0.485 0.515 0.250
0.515 0.485 0.750
0.116 0.403 0.169
0.127 0.303 0.638
0.303 0.127 0.138
0.403 0.116 0.669
0.597 0.884 0.331
0.697 0.873 0.862
0.873 0.697 0.362
0.884 0.597 0.831
```